# 1
7
Lattice="-2.393 2.432 8.767 2.393 -2.432 8.767 2.393 2.432 -8.767" Properties=species:S:1:pos:R:3 comment="GGA-PBE La3CeSn2O, relaxed" crystal_system=orthorhombic raw_formation_energy_kcal_per_mol_atoms=-30.12 total_magnetization_mub_per_cell=2.135 final_energy_ev_per_cell=-42.8 pbc="T T T"
La 0.000 0.000 0.000
La 2.393 0.000 5.725
La 0.000 2.432 3.042
Ce 0.000 0.000 8.767
Sn 2.393 0.000 2.408
Sn 0.000 2.432 6.360
O 0.000 2.432 0.000



# 2
20
Lattice="6.105 0.000 0.000 0.000 6.311 0.000 -6.105 0.000 8.784" Properties=species:S:1:pos:R:3 comment="GGA-PBE Sr2LaCeO6, relaxed" crystal_system=monoclinic raw_formation_energy_kcal_per_mol_atoms=-67.66 total_magnetization_mub_per_cell=2.194 final_energy_ev_per_cell=-146.6 pbc="T T T"
Sr -0.101 0.317 2.219
Sr -3.153 2.839 6.611
Sr 3.153 3.473 2.173
Sr 0.101 5.994 6.566
La 3.052 0.000 0.000
La 0.000 3.156 4.392
Ce -3.052 0.000 4.392
Ce 0.000 3.156 0.000
O -4.931 1.327 8.182
O -1.879 1.829 3.790
O -4.322 4.370 8.261
O -1.269 5.097 3.869
O -2.327 0.357 6.508
O 0.725 2.799 2.116
O -0.725 3.512 6.669
O 2.327 5.954 2.276
O 1.269 1.214 4.916
O 4.322 1.942 0.524
O 1.879 4.483 4.995
O 4.931 4.984 0.602



# 3
18
Lattice="5.690 0.000 0.000 -2.845 4.928 0.000 0.000 0.000 9.953" Properties=species:S:1:pos:R:3 comment="GGA-PBE LaCeTaO6, relaxed" crystal_system=trigonal raw_formation_energy_kcal_per_mol_atoms=-74.32 total_magnetization_mub_per_cell=0.000 final_energy_ev_per_cell=-162.9 pbc="T T T"
La 0.000 0.000 0.000
La 0.000 0.000 4.977
Ce 0.000 3.285 2.488
Ce 2.845 1.643 7.465
Ta 0.000 3.285 7.465
Ta 2.845 1.643 2.488
O -0.883 1.846 6.370
O -1.688 3.240 8.559
O 0.883 1.846 8.559
O -0.805 4.770 6.370
O 2.040 0.158 1.394
O 1.157 1.688 3.583
O 1.688 3.240 6.370
O 0.805 4.770 8.559
O 3.651 0.158 3.583
O 1.962 3.082 1.394
O 4.534 1.688 1.394
O 3.728 3.082 3.583



# 4
12
Lattice="-2.711 2.711 5.810 2.711 -2.711 5.810 2.711 2.711 -5.810" Properties=species:S:1:pos:R:3 comment="GGA-PBE LaCeTa2O8, relaxed" crystal_system=tetragonal raw_formation_energy_kcal_per_mol_atoms=-73.49 total_magnetization_mub_per_cell=1.000 final_energy_ev_per_cell=-112.5 pbc="T T T"
La 0.000 0.000 0.000
Ce 0.000 2.711 2.905
Ta 2.711 0.000 2.905
Ta 0.000 0.000 5.810
O 1.811 -1.324 3.907
O 1.831 1.383 -1.015
O 1.386 0.899 1.902
O 1.327 -0.880 6.825
O 0.899 4.035 -1.902
O 0.880 1.327 4.794
O 1.383 3.590 1.015
O 1.324 1.811 7.712



# 5
18
Lattice="5.705 0.000 0.000 -2.852 4.940 0.000 0.000 0.000 9.339" Properties=species:S:1:pos:R:3 comment="GGA-PBE LaCeTcO6, relaxed" crystal_system=trigonal raw_formation_energy_kcal_per_mol_atoms=-58.28 total_magnetization_mub_per_cell=4.007 final_energy_ev_per_cell=-147.4 pbc="T T T"
La 0.000 3.294 2.335
La 2.852 1.647 7.004
Ce 0.000 0.000 0.000
Ce 0.000 0.000 4.670
Tc 0.000 3.294 7.004
Tc 2.852 1.647 2.335
O -0.718 1.824 5.894
O -1.632 3.407 8.114
O 0.718 1.824 8.114
O -0.914 4.650 5.894
O 1.938 0.290 1.225
O 1.220 1.534 3.445
O 1.632 3.407 5.894
O 0.914 4.650 8.114
O 3.766 0.290 3.445
O 2.134 3.117 1.225
O 4.484 1.534 1.225
O 3.570 3.117 3.445



# 6
8
Lattice="4.022 0.000 0.000 0.000 4.022 0.000 0.000 0.000 9.338" Properties=species:S:1:pos:R:3 comment="GGA-PBE LaCe2TeO4, relaxed" crystal_system=tetragonal raw_formation_energy_kcal_per_mol_atoms=-72.56 total_magnetization_mub_per_cell=1.056 final_energy_ev_per_cell=-64.9 pbc="T T T"
La 0.000 0.000 0.000
Ce 2.011 2.011 2.561
Ce 2.011 2.011 6.777
Te 0.000 0.000 4.669
O 0.000 2.011 1.505
O 0.000 2.011 7.834
O 2.011 0.000 1.505
O 2.011 0.000 7.834



# 7
10
Lattice="4.284 0.000 0.000 0.000 4.284 0.000 0.000 0.000 16.182" Properties=species:S:1:pos:R:3 comment="GGA-PBE LaCeTe2O, relaxed" crystal_system=tetragonal raw_formation_energy_kcal_per_mol_atoms=-48.77 total_magnetization_mub_per_cell=1.468 final_energy_ev_per_cell=-65.4 pbc="T T T"
La 1.071 1.071 2.176
La 3.213 3.213 14.006
Ce 1.071 1.071 9.177
Ce 3.213 3.213 7.005
Te 1.071 1.071 5.269
Te 1.071 1.071 14.844
Te 3.213 3.213 1.339
Te 3.213 3.213 10.913
O 1.071 3.213 8.091
O 3.213 1.071 8.091



# 8
5
Lattice="5.096 0.000 0.000 0.000 5.096 0.000 0.000 0.000 4.934" Properties=species:S:1:pos:R:3 comment="GGA-PBE La2CeTlO, relaxed" crystal_system=tetragonal raw_formation_energy_kcal_per_mol_atoms=-30.65 total_magnetization_mub_per_cell=1.207 final_energy_ev_per_cell=-29.8 pbc="T T T"
La 0.000 2.548 0.000
La 2.548 0.000 0.000
Ce 0.000 0.000 2.467
Tl 2.548 2.548 2.467
O 0.000 0.000 0.000